[1]
# Sm12Er7Pu

Crystalline Sm12Er7Pu at its relaxed geometry (PBE-GGA, the Alexandria database).

The density of states at the Fermi level is 1.627 states/eV per atom. The electronic total energy is -4.900 eV/atom. The magnetic moment is 17.77 μB/cell. For the formation energy, the calculation gives 0.245 eV/atom.

It has space group R-3 (No. 148, hexagonal axes), with a = 19.4834 Å, b = 19.4834 Å, c = 6.1189 Å, α = 90.00°, β = 90.00° and γ = 120.00°. The inequivalent atoms are Sm at (0.0008, 0.4142, 0.0002), Sm at (0.0978, 0.5499, 0.4763), Er at (0.0000, 0.0000, 0.0000), Er at (0.0789, 0.9188, 0.3034) and Pu at (0.0000, 0.0000, 0.5000).

---

[2]
# Ta5Te4

Crystalline Ta5Te4 at its relaxed geometry (PBE-GGA, the Alexandria database).

The density of states at the Fermi level is 0.912 states/eV per atom. The uncorrected formation energy comes out at 0.47 eV/atom. The electronic total energy is -7.515 eV/atom. The magnetic moment is 0.00 μB/cell.

It has space group P6_3/mcm (No. 193), with a = 8.6453 Å, b = 8.6453 Å, c = 5.7296 Å, α = 90.00°, β = 90.00° and γ = 120.00°. The inequivalent atoms are Ta at (0.0000, 0.3235, 0.2500), Ta at (0.3333, 0.6667, 0.0000), Te at (0.0000, 0.0000, 0.0000) and Te at (0.0000, 0.3639, 0.7500).

---

[3]
# HfCd2Pb2

Crystalline HfCd2Pb2 at its relaxed geometry (PBE-GGA, the Alexandria database).

The density of states at the Fermi level is 0.753 states/eV per atom. The electronic total energy is -3.527 eV/atom. The value obtained for the energy above the most stable polymorph in this dataset is 7.0 meV/atom. The magnetic moment is 0.00 μB/cell. For the formation energy, the calculation gives 0.313 eV/atom.

It has space group P4/mbm (No. 127), with a = 8.171 Å, b = 8.171 Å, c = 3.825 Å, α = 90.00°, β = 90.00° and γ = 90.00°. The inequivalent atoms are Hf at (0.000, 0.000, 0.000), Cd at (0.126, 0.374, 0.000) and Pb at (0.177, 0.677, 0.500).

---

[4]
# ZnFe2Os

Crystalline ZnFe2Os at its relaxed geometry (PBE-GGA, the Alexandria database).

The density of states at the Fermi level is 0.767 states/eV per atom. The electronic total energy is -7.174 eV/atom. The magnetic moment is 5.67 μB/cell. For the formation energy, the calculation gives 0.183 eV/atom.

It has space group P4/mmm (No. 123), with a = 3.724 Å, b = 3.724 Å, c = 3.742 Å, α = 90.00°, β = 90.00° and γ = 90.00°. The inequivalent atoms are Zn at (0.000, 0.000, 0.000), Fe at (0.000, 0.500, 0.500) and Os at (0.500, 0.500, 0.000).

---

[5]
# Mg4ZnAg7

Crystalline Mg4ZnAg7 at its relaxed geometry (PBE-GGA, the Alexandria database).

The density of states at the Fermi level is 0.252 states/eV per atom. The electronic total energy is -2.345 eV/atom. The magnetic moment is 0.00 μB/cell. For the formation energy, the calculation gives -0.044 eV/atom.

It has space group C2/m (No. 12), with a = 10.321 Å, b = 4.976 Å, c = 10.477 Å, α = 90.00°, β = 118.29° and γ = 90.00°. The inequivalent atoms are Mg at (0.106, 0.000, 0.275), Mg at (0.240, 0.000, 0.815), Zn at (0.000, 0.500, 0.500), Ag at (0.000, 0.000, 0.500), Ag at (0.046, 0.500, 0.862), Ag at (0.145, 0.000, 0.022) and Ag at (0.202, 0.500, 0.420).

---

[6]
# LiIn4NiPd2

Crystalline LiIn4NiPd2 at its relaxed geometry (PBE-GGA, the Alexandria database).

The density of states at the Fermi level is 0.351 states/eV per atom. The electronic total energy is -3.979 eV/atom. The magnetic moment is 0.00 μB/cell. For the formation energy, the calculation gives -0.350 eV/atom.

It has space group R-3m (No. 166, hexagonal axes), with a = 4.6390 Å, b = 4.6390 Å, c = 22.7482 Å, α = 90.00°, β = 90.00° and γ = 120.00°. The inequivalent atoms are Li at (0.0000, 0.0000, 0.0000), In at (0.0000, 0.0000, 0.1286), In at (0.0000, 0.0000, 0.3791), Ni at (0.0000, 0.0000, 0.5000) and Pd at (0.0000, 0.0000, 0.2546).

---

[7]
# Na3PmBi2Te6

Crystalline Na3PmBi2Te6 at its relaxed geometry (PBE-GGA, the Alexandria database).

The density of states at the Fermi level is 0.000 states/eV per atom. The uncorrected formation energy comes out at -0.80 eV/atom. The electronic total energy is -3.744 eV/atom. The magnetic moment is 0.00 μB/cell.

It has space group C2/m (No. 12), with a = 7.832 Å, b = 13.574 Å, c = 8.037 Å, α = 90.00°, β = 108.95° and γ = 90.00°. The inequivalent atoms are Na at (0.000, 0.000, 0.000), Na at (0.000, 0.329, 0.000), Pm at (0.000, 0.500, 0.500), Bi at (0.000, 0.166, 0.500), Te at (0.244, 0.000, 0.738) and Te at (0.246, 0.332, 0.736).